PBE Cd3Hg, relaxed; total DFT energy (no corrections) = -3.0 eV/f.u.; symmetry = I4/mmm (139); calculated formation energy = 0.019 eV per atom
1.0
4.481 0.000 0.000
0.000 4.481 0.000
-2.241 -2.241 9.218
Cd Hg
6 2
direct
0.250 0.750 0.500
0.500 0.000 0.000
0.126 0.126 0.252
0.750 0.250 0.500
0.874 0.874 0.748
0.000 0.500 0.000
0.376 0.376 0.752
0.624 0.624 0.248

=====

PBE Cd4Hg, relaxed; total DFT energy (no corrections) = -3.5 eV/f.u.; symmetry = I-43m (217); ΔE to the lowest computed polymorph = 0.072 eV per atom; calculated formation energy = 0.090 eV per atom
1.0
8.743 0.000 0.000
-2.914 8.243 0.000
-2.914 -4.121 7.138
Cd Hg
16 4
direct
0.500 0.250 0.750
0.656 0.656 0.000
0.656 0.000 0.656
0.750 0.250 0.500
0.674 0.674 0.674
0.326 0.000 0.000
0.344 0.344 0.000
0.000 0.344 0.344
0.750 0.500 0.250
0.250 0.750 0.500
0.000 0.000 0.326
0.000 0.326 0.000
0.500 0.750 0.250
0.344 0.000 0.344
0.000 0.656 0.656
0.250 0.500 0.750
0.000 0.000 0.658
0.658 0.000 0.000
0.000 0.658 0.000
0.342 0.342 0.342

=====

PBE CdHg5, relaxed; total DFT energy (no corrections) = -2.2 eV/f.u.; symmetry = P-62m (189); calculated formation energy = 0.030 eV per atom
1.0
-3.493 1.739 4.882
2.435 -5.752 -0.209
3.907 1.573 2.235
Hg Cd
5 1
direct
0.013 0.000 0.000
0.333 0.680 0.000
0.000 0.333 0.500
0.667 0.667 0.500
0.654 0.320 0.000
0.333 0.000 0.500